The following is a meta-GGA SCAN calculation of a PBEsol-optimized structure of CoRu3, from the Alexandria database.

The calculated total energy comes out at -30.23 eV/atom. The value obtained for the energy relative to the elements is 219 meV per atom.

a b c (Å): 2.611 2.611 7.335
angles (deg): 90.00 90.00 90.00
Site moments in Bohr magnetons follow the coordinates.
Element x y z (fractional)
1 Ru 0.000 0.000 0.500  -0.18
2 Ru 0.500 0.500 0.760  0.13
3 Ru 0.500 0.500 0.240  0.13
4 Co 0.000 0.000 0.000  1.54

The following is a meta-GGA SCAN calculation of a PBEsol-optimized structure of CoRuS2, from the Alexandria database.

Its uncorrected formation energy is -0.0840 eV per atom. The calculated total energy comes out at -17.93 eV/atom.

a b c (Å): 3.009 3.009 7.287
angles (deg): 78.09 78.09 60.00
Element x y z (fractional)
1 Co 0.500 0.500 0.500
2 S 0.896 0.896 0.312
3 S 0.104 0.104 0.688
4 Ru 0.000 0.000 0.000

The following is a meta-GGA SCAN calculation of a PBEsol-optimized structure of ScCoRuS2, from the Alexandria database.

Its uncorrected formation energy is 0.1087 eV per atom. The calculated total energy comes out at -17.02 eV/atom.

a b c (Å): 4.263 4.529 4.529
angles (deg): 90.00 90.00 90.00
Site moments in Bohr magnetons follow the coordinates.
Element x y z (fractional)
1 Sc 0.500 0.500 0.500  -0.19
2 Co 0.500 0.000 0.000  1.70
3 S 0.000 0.000 0.500  0.02
4 S 0.000 0.500 0.000  0.02
5 Ru 0.000 0.000 0.000  0.33